Record 1
# Ti6Ni12Rh | the Alexandria database | PBE | optimized geometry
data_Ti6Ni12Rh
_symmetry_space_group_name_H-M 'R -3 m'
_symmetry_Int_Tables_number 166
_symmetry_space_group_name_Hall '-R 3 2"'
_cell_length_a 11.1287
_cell_length_b 11.1287
_cell_length_c 7.3540
_cell_angle_alpha 90.00
_cell_angle_beta 90.00
_cell_angle_gamma 120.00
loop_
_atom_site_label
_atom_site_type_symbol
_atom_site_fract_x
_atom_site_fract_y
_atom_site_fract_z
Ti1 Ti 0.0388 0.5194 0.2109
Ni1 Ni 0.0000 0.3909 0.5000
Ni2 Ni 0.0725 0.1450 0.2906
Rh1 Rh 0.0000 0.0000 0.0000
# V   788.8 Å³ per cell
# Calculated total energy   -372.782 eV/cell

***

Record 2
# LiCeHoFe | the Alexandria database | PBE | optimized geometry
data_LiCeHoFe
_symmetry_space_group_name_H-M 'F -4 3 m'
_symmetry_Int_Tables_number 216
_symmetry_space_group_name_Hall 'F -4 2 3'
_cell_length_a 6.866
_cell_length_b 6.866
_cell_length_c 6.866
_cell_angle_alpha 90.00
_cell_angle_beta 90.00
_cell_angle_gamma 90.00
loop_
_atom_site_label
_atom_site_type_symbol
_atom_site_fract_x
_atom_site_fract_y
_atom_site_fract_z
Li1 Li 0.000 0.000 0.000
Ce1 Ce 0.250 0.250 0.250
Ho1 Ho 0.250 0.250 0.750
Fe1 Fe 0.000 0.000 0.500
# V   323.7 Å³ per cell
# Calculated total energy   -81.631 eV/cell

***

Record 3
# Al3Zn4Ag2 | the Alexandria database | PBE | optimized geometry
data_Al3Zn4Ag2
_symmetry_space_group_name_H-M 'P 3 m 1'
_symmetry_Int_Tables_number 156
_cell_length_a 2.8963
_cell_length_b 2.8963
_cell_length_c 20.3659
_cell_angle_alpha 90.00
_cell_angle_beta 90.00
_cell_angle_gamma 120.00
loop_
_symmetry_equiv_pos_as_xyz
'x,y,z'
'-y,x-y,z'
'-x+y,-x,z'
'-y,-x,z'
'-x+y,y,z'
'x,x-y,z'
loop_
_atom_site_label
_atom_site_type_symbol
_atom_site_fract_x
_atom_site_fract_y
_atom_site_fract_z
Al1 Al 0.0000 0.0000 0.0000
Al2 Al 0.0000 0.0000 0.3471
Al3 Al 0.6667 0.3333 0.6716
Zn1 Zn 0.0000 0.0000 0.5627
Zn2 Zn 0.0000 0.0000 0.7795
Zn3 Zn 0.6667 0.3333 0.2376
Zn4 Zn 0.6667 0.3333 0.4561
Ag1 Ag 0.6667 0.3333 0.1082
Ag2 Ag 0.6667 0.3333 0.8901
# V   147.9 Å³ per cell
# Calculated total energy   -21.713 eV/cell
# Excess energy over the best structure of this formula in the dataset   0.0206 eV per atom

***

The records above yield formation energy from the elements values of -0.0086; 0.1201; 0.0348 eV per atom, respectively.